# SrAl2P | Alexandria via LeMat-Bulk | GGA-PBEsol | optimized geometry
data_SrAl2P
_chemical_formula_sum 'Sr4 Al8 P4'
_cell_length_a 6.9713
_cell_length_b 6.9713
_cell_length_c 6.9713
_cell_angle_alpha 90.00
_cell_angle_beta 90.00
_cell_angle_gamma 90.00
_space_group_name_H-M_alt 'F -4 3 m'
_space_group_IT_number 216
_space_group_name_Hall 'F -4 2 3'
loop_
_atom_site_label
_atom_site_fract_x
_atom_site_fract_y
_atom_site_fract_z
Sr1 0.0000 0.0000 0.0000
Al1 0.0000 0.0000 0.5000
Al2 0.2500 0.2500 0.7500
P1 0.2500 0.2500 0.2500
# E_tot ... -62.79 eV per cell
# Calculated volume ... 21.2 Å³/atom
# Magnetization ... 0.0 μB/cell
# Formation energy from the elements ... 0.029 eV per atom